# 1
# LaBeGa2Pt4, optimized geometry, DFT PBE
# Raw total energy   -0.420 Ry/atom
# Calculated volume   138.33 Å³/f.u.
# DOS at the Fermi energy   2.930 states/eV/f.u.
# Formation energy   -657 kJ/mol of formula units
# Size of the total moment   0.00 μB per cell
# ρ   12816 kg/m3
data_LaBeGa2Pt4
_space_group_name_H-M_alt 'R -3 m'
_space_group_IT_number 166
_space_group_name_Hall '-R 3 2"'
_cell_length_a 4.2830
_cell_length_b 4.2830
_cell_length_c 26.1228
_cell_angle_alpha 90.00
_cell_angle_beta 90.00
_cell_angle_gamma 120.00
loop_
_atom_site_label
_atom_site_type_symbol
_atom_site_fract_x
_atom_site_fract_y
_atom_site_fract_z
La1 La 0.0000 0.0000 0.0000
Be1 Be 0.0000 0.0000 0.5000
Ga1 Ga 0.0000 0.0000 0.2400
Pt1 Pt 0.0000 0.0000 0.1382
Pt2 Pt 0.0000 0.0000 0.4094

***

# 2
# PmDy2TmTh, optimized geometry, DFT PBE
# Raw total energy   -0.356 Ry/atom
# Calculated volume   172.13 Å³/f.u.
# DOS at the Fermi energy   9.200 states/eV/f.u.
# Formation energy   160 kJ/mol of formula units
# Size of the total moment   0.00 μB per cell
# ρ   8402 kg/m3
data_PmDy2TmTh
_space_group_name_H-M_alt 'P m m m'
_space_group_IT_number 47
_space_group_name_Hall '-P 2 2'
_cell_length_a 3.534
_cell_length_b 5.616
_cell_length_c 8.674
_cell_angle_alpha 90.00
_cell_angle_beta 90.00
_cell_angle_gamma 90.00
loop_
_atom_site_label
_atom_site_type_symbol
_atom_site_fract_x
_atom_site_fract_y
_atom_site_fract_z
Pm1 Pm 0.000 0.000 0.000
Dy1 Dy 0.000 0.500 0.322
Tm1 Tm 0.500 0.000 0.500
Th1 Th 0.500 0.500 0.000

***

# 3
# La2TbGaSe5, optimized geometry, DFT PBE
# Raw total energy   -0.404 Ry/atom
# Calculated volume   234.69 Å³/f.u.
# DOS at the Fermi energy   0.832 states/eV/f.u.
# Size of the total moment   0.00 μB per cell
# ρ   6377 kg/m3
data_La2TbGaSe5
_space_group_name_H-M_alt 'C m c 21'
_space_group_IT_number 36
_space_group_name_Hall 'C 2c -2'
_cell_length_a 4.122
_cell_length_b 17.984
_cell_length_c 12.665
_cell_angle_alpha 90.00
_cell_angle_beta 90.00
_cell_angle_gamma 90.00
loop_
_atom_site_label
_atom_site_type_symbol
_atom_site_fract_x
_atom_site_fract_y
_atom_site_fract_z
La1 La 0.000 0.121 0.000
La2 La 0.000 0.129 0.377
Tb1 Tb 0.000 0.188 0.693
Ga1 Ga 0.000 0.433 0.173
Se1 Se 0.000 0.027 0.780
Se2 Se 0.000 0.293 0.024
Se3 Se 0.000 0.302 0.356
Se4 Se 0.000 0.349 0.694
Se5 Se 0.000 0.490 0.991

***

# 4
# KTl2MoRu, optimized geometry, DFT PBE
# Raw total energy   -0.200 Ry/atom
# Calculated volume   182.03 Å³/f.u.
# DOS at the Fermi energy   4.602 states/eV/f.u.
# Formation energy   1191 kJ/mol of formula units
# Size of the total moment   7.08 μB per cell
# ρ   5883 kg/m3
data_KTl2MoRu
_space_group_name_H-M_alt 'P 4/m m m'
_space_group_IT_number 123
_space_group_name_Hall '-P 4 2'
_cell_length_a 5.745
_cell_length_b 5.745
_cell_length_c 5.514
_cell_angle_alpha 90.00
_cell_angle_beta 90.00
_cell_angle_gamma 90.00
loop_
_atom_site_label
_atom_site_type_symbol
_atom_site_fract_x
_atom_site_fract_y
_atom_site_fract_z
K1 K 0.000 0.000 0.000
Tl1 Tl 0.000 0.500 0.000
Mo1 Mo 0.000 0.000 0.500
Ru1 Ru 0.500 0.500 0.500

***

# 5
# TbDyZnCo, optimized geometry, DFT PBE
# Raw total energy   -0.340 Ry/atom
# Calculated volume   82.24 Å³/f.u.
# Relative energy among the computed polymorphs   9 meV per atom
# DOS at the Fermi energy   2.771 states/eV/f.u.
# Formation energy   -86 kJ/mol of formula units
# Size of the total moment   0.00 μB per cell
# ρ   9001 kg/m3
data_TbDyZnCo
_space_group_name_H-M_alt 'F -4 3 m'
_space_group_IT_number 216
_space_group_name_Hall 'F -4 2 3'
_cell_length_a 6.903
_cell_length_b 6.903
_cell_length_c 6.903
_cell_angle_alpha 90.00
_cell_angle_beta 90.00
_cell_angle_gamma 90.00
loop_
_atom_site_label
_atom_site_type_symbol
_atom_site_fract_x
_atom_site_fract_y
_atom_site_fract_z
Tb1 Tb 0.000 0.000 0.000
Dy1 Dy 0.000 0.000 0.500
Zn1 Zn 0.250 0.250 0.750
Co1 Co 0.250 0.250 0.250

***

# 6
# TaSiTc2, optimized geometry, DFT PBE
# Raw total energy   -0.699 Ry/atom
# Calculated volume   60.91 Å³/f.u.
# DOS at the Fermi energy   3.974 states/eV/f.u.
# Size of the total moment   0.00 μB per cell
# ρ   11042 kg/m3
data_TaSiTc2
_space_group_name_H-M_alt 'R 3 m'
_space_group_IT_number 160
_space_group_name_Hall 'R 3 -2"'
_cell_length_a 2.8223
_cell_length_b 2.8223
_cell_length_c 26.4884
_cell_angle_alpha 90.00
_cell_angle_beta 90.00
_cell_angle_gamma 120.00
loop_
_atom_site_label
_atom_site_type_symbol
_atom_site_fract_x
_atom_site_fract_y
_atom_site_fract_z
Ta1 Ta 0.0000 0.0000 0.0000
Si1 Si 0.0000 0.0000 0.7516
Tc1 Tc 0.0000 0.0000 0.2414
Tc2 Tc 0.0000 0.0000 0.4955

***

# 7
# BiPSeO2, optimized geometry, DFT PBE
# Raw total energy   -0.336 Ry/atom
# Calculated volume   80.09 Å³/f.u.
# Relative energy among the computed polymorphs   0 meV per atom
# DOS at the Fermi energy   0.395 states/eV/f.u.
# Size of the total moment   0.00 μB per cell
# ρ   7276 kg/m3
data_BiPSeO2
_space_group_name_H-M_alt 'P 4/m m m'
_space_group_IT_number 123
_space_group_name_Hall '-P 4 2'
_cell_length_a 4.031
_cell_length_b 4.031
_cell_length_c 4.928
_cell_angle_alpha 90.00
_cell_angle_beta 90.00
_cell_angle_gamma 90.00
loop_
_atom_site_label
_atom_site_type_symbol
_atom_site_fract_x
_atom_site_fract_y
_atom_site_fract_z
Bi1 Bi 0.000 0.000 0.000
P1 P 0.500 0.500 0.000
Se1 Se 0.500 0.500 0.500
O1 O 0.000 0.500 0.500

***

# 8
# HfBS4, optimized geometry, DFT PBE
# Raw total energy   -0.431 Ry/atom
# Calculated volume   126.23 Å³/f.u.
# DOS at the Fermi energy   3.404 states/eV/f.u.
# Size of the total moment   0.74 μB per cell
# ρ   4177 kg/m3
data_HfBS4
_space_group_name_H-M_alt 'P 1 2/m 1'
_space_group_IT_number 10
_space_group_name_Hall '-P 2y'
_cell_length_a 6.276
_cell_length_b 3.196
_cell_length_c 6.426
_cell_angle_alpha 90.00
_cell_angle_beta 101.62
_cell_angle_gamma 90.00
loop_
_atom_site_label
_atom_site_type_symbol
_atom_site_fract_x
_atom_site_fract_y
_atom_site_fract_z
Hf1 Hf 0.000 0.000 0.000
B1 B 0.500 0.500 0.000
S1 S 0.191 0.500 0.264
S2 S 0.344 0.000 0.821

***

# 9
# VH2Pd, optimized geometry, DFT PBE
# Raw total energy   -0.357 Ry/atom
# Calculated volume   35.74 Å³/f.u.
# Relative energy among the computed polymorphs   581 meV per atom
# DOS at the Fermi energy   3.085 states/eV/f.u.
# Size of the total moment   2.00 μB per cell
# ρ   7404 kg/m3
data_VH2Pd
_space_group_name_H-M_alt 'F m -3 m'
_space_group_IT_number 225
_space_group_name_Hall '-F 4 2 3'
_cell_length_a 5.229
_cell_length_b 5.229
_cell_length_c 5.229
_cell_angle_alpha 90.00
_cell_angle_beta 90.00
_cell_angle_gamma 90.00
loop_
_atom_site_label
_atom_site_type_symbol
_atom_site_fract_x
_atom_site_fract_y
_atom_site_fract_z
V1 V 0.000 0.000 0.000
H1 H 0.250 0.250 0.250
Pd1 Pd 0.000 0.000 0.500

***

# 10
# YNi2Os, optimized geometry, DFT PBE
# Raw total energy   -0.529 Ry/atom
# Calculated volume   62.78 Å³/f.u.
# Relative energy among the computed polymorphs   263 meV per atom
# DOS at the Fermi energy   6.266 states/eV/f.u.
# Formation energy   45 kJ/mol of formula units
# Size of the total moment   0.00 μB per cell
# ρ   10488 kg/m3
data_YNi2Os
_space_group_name_H-M_alt 'P 4 m m'
_space_group_IT_number 99
_space_group_name_Hall 'P 4 -2'
_cell_length_a 3.183
_cell_length_b 3.183
_cell_length_c 6.197
_cell_angle_alpha 90.00
_cell_angle_beta 90.00
_cell_angle_gamma 90.00
loop_
_atom_site_label
_atom_site_type_symbol
_atom_site_fract_x
_atom_site_fract_y
_atom_site_fract_z
Y1 Y 0.000 0.000 0.000
Ni1 Ni 0.000 0.000 0.488
Ni2 Ni 0.500 0.500 0.285
Os1 Os 0.500 0.500 0.678

***

# 11
# TbSm2Ru, optimized geometry, DFT PBE
# Raw total energy   -0.448 Ry/atom
# Calculated volume   111.41 Å³/f.u.
# Relative energy among the computed polymorphs   0 meV per atom
# DOS at the Fermi energy   3.641 states/eV/f.u.
# Formation energy   -98 kJ/mol of formula units
# Size of the total moment   0.00 μB per cell
# ρ   8357 kg/m3
data_TbSm2Ru
_space_group_name_H-M_alt 'P n m a'
_space_group_IT_number 62
_space_group_name_Hall '-P 2ac 2n'
_cell_length_a 7.356
_cell_length_b 9.488
_cell_length_c 6.386
_cell_angle_alpha 90.00
_cell_angle_beta 90.00
_cell_angle_gamma 90.00
loop_
_atom_site_label
_atom_site_type_symbol
_atom_site_fract_x
_atom_site_fract_y
_atom_site_fract_z
Tb1 Tb 0.043 0.250 0.141
Sm1 Sm 0.177 0.065 0.670
Ru1 Ru 0.115 0.750 0.458

***

# 12
# Tb3In2Hg3, optimized geometry, DFT PBE
# Raw total energy   -0.213 Ry/atom
# Calculated volume   219.91 Å³/f.u.
# DOS at the Fermi energy   7.127 states/eV/f.u.
# Formation energy   -277 kJ/mol of formula units
# Size of the total moment   0.00 μB per cell
# ρ   9878 kg/m3
data_Tb3In2Hg3
_space_group_name_H-M_alt 'P 63/m c m'
_space_group_IT_number 193
_space_group_name_Hall '-P 6c 2'
_cell_length_a 9.0026
_cell_length_b 9.0026
_cell_length_c 6.2661
_cell_angle_alpha 90.00
_cell_angle_beta 90.00
_cell_angle_gamma 120.00
loop_
_atom_site_label
_atom_site_type_symbol
_atom_site_fract_x
_atom_site_fract_y
_atom_site_fract_z
Tb1 Tb 0.0000 0.3132 0.2500
In1 In 0.3333 0.6667 0.0000
Hg1 Hg 0.0000 0.3425 0.7500